# LaZn2Au, optimized geometry, DFT PBE
# V = 23.36 Å³ per atom
# Formation energy from the elements = -0.39 eV per atom
# Magnetization = 0.0000 μB/atom
data_LaZn2Au
_symmetry_space_group_name_H-M 'P 1'
_symmetry_Int_Tables_number 1
_cell_length_a 4.741
_cell_length_b 3.848
_cell_length_c 5.124
_cell_angle_alpha 89.86
_cell_angle_beta 90.00
_cell_angle_gamma 90.00
loop_
_symmetry_equiv_pos_as_xyz
'x,y,z'
loop_
_atom_site_label
_atom_site_fract_x
_atom_site_fract_y
_atom_site_fract_z
Au1 0.500 0.250 0.250
La1 0.500 0.750 0.750
Zn1 0.000 0.248 0.002
Zn2 0.000 0.252 0.498